(1)
## TiNiP (GGA-PBE)

Data for a geometry-optimized TiNiP structure.

```
data_TiNiP
_chemical_formula_sum 'Ti4 Ni4 P4'
_cell_length_a 5.084
_cell_length_b 3.540
_cell_length_c 9.492
_cell_angle_alpha 90.00
_cell_angle_beta 108.22
_cell_angle_gamma 90.00
_space_group_name_H-M_alt 'P 1'
_space_group_IT_number 1
_space_group_name_Hall 'P 1'
loop_
_atom_site_label
_atom_site_type_symbol
_atom_site_fract_x
_atom_site_fract_y
_atom_site_fract_z
P1 P 0.517 0.000 0.300
P2 P 0.517 0.500 0.800
P3 P 0.991 0.000 0.632
P4 P 0.991 0.500 0.132
Ti1 Ti 0.861 0.500 0.443
Ti2 Ti 0.468 0.000 0.590
Ti3 Ti 0.468 0.500 0.090
Ti4 Ti 0.861 0.000 0.943
Ni1 Ni 0.909 0.500 0.744
Ni2 Ni 0.303 0.000 0.857
Ni3 Ni 0.909 0.000 0.244
Ni4 Ni 0.303 0.500 0.357
```

***

(2)
## TiNiP (GGA-PBE)

Data for a geometry-optimized TiNiP structure.

```
data_TiNiP
_chemical_formula_sum 'Ti4 Ni4 P4'
_cell_length_a 6.027
_cell_length_b 3.584
_cell_length_c 8.796
_cell_angle_alpha 90.00
_cell_angle_beta 126.36
_cell_angle_gamma 90.00
_space_group_name_H-M_alt 'P 1'
_space_group_IT_number 1
_space_group_name_Hall 'P 1'
loop_
_atom_site_label
_atom_site_type_symbol
_atom_site_fract_x
_atom_site_fract_y
_atom_site_fract_z
Ti1 Ti 0.329 0.500 0.070
Ti2 Ti 0.671 0.000 0.430
Ti3 Ti 0.329 0.000 0.570
Ti4 Ti 0.671 0.500 0.930
P1 P 0.305 0.000 0.841
P2 P 0.695 0.500 0.659
P3 P 0.695 0.000 0.159
P4 P 0.305 0.500 0.341
Ni1 Ni 0.922 0.000 0.830
Ni2 Ni 0.078 0.500 0.670
Ni3 Ni 0.078 0.000 0.170
Ni4 Ni 0.922 0.500 0.330
```

***

(3)
## TiNiP (GGA-PBE)

Data for a geometry-optimized TiNiP structure.

```
data_TiNiP
_chemical_formula_sum 'Ti4 Ni4 P4'
_cell_length_a 3.574
_cell_length_b 6.064
_cell_length_c 6.934
_cell_angle_alpha 90.00
_cell_angle_beta 90.00
_cell_angle_gamma 90.00
_space_group_name_H-M_alt 'P 1'
_space_group_IT_number 1
_space_group_name_Hall 'P 1'
loop_
_atom_site_label
_atom_site_type_symbol
_atom_site_fract_x
_atom_site_fract_y
_atom_site_fract_z
P1 P 0.250 0.269 0.877
P2 P 0.750 0.731 0.123
P3 P 0.750 0.231 0.377
P4 P 0.250 0.769 0.623
Ni1 Ni 0.250 0.147 0.563
Ni2 Ni 0.250 0.647 0.937
Ni3 Ni 0.750 0.353 0.063
Ni4 Ni 0.750 0.853 0.437
Ti1 Ti 0.250 0.026 0.175
Ti2 Ti 0.250 0.526 0.325
Ti3 Ti 0.750 0.974 0.825
Ti4 Ti 0.750 0.474 0.675
```

***

(4)
## UTi2NiP4 (GGA-PBE)

Data for a geometry-optimized UTi2NiP4 structure.

```
data_UTi2NiP4
_chemical_formula_sum 'U2 Ti4 Ni2 P8'
_cell_length_a 3.636
_cell_length_b 6.212
_cell_length_c 12.224
_cell_angle_alpha 90.00
_cell_angle_beta 90.00
_cell_angle_gamma 107.02
_space_group_name_H-M_alt 'P 1'
_space_group_IT_number 1
_space_group_name_Hall 'P 1'
loop_
_atom_site_label
_atom_site_type_symbol
_atom_site_fract_x
_atom_site_fract_y
_atom_site_fract_z
Ni1 Ni 0.148 0.297 0.250
Ni2 Ni 0.852 0.703 0.750
P1 P 0.000 0.000 0.500
P2 P 0.273 0.545 0.117
P3 P 0.548 0.096 0.250
P4 P 0.727 0.455 0.883
P5 P 0.452 0.904 0.750
P6 P 0.727 0.455 0.617
P7 P 0.273 0.545 0.383
P8 P 0.000 0.000 0.000
Ti1 Ti 0.369 0.738 0.561
Ti2 Ti 0.369 0.738 0.939
Ti3 Ti 0.631 0.262 0.061
Ti4 Ti 0.631 0.262 0.439
U1 U 0.881 0.763 0.250
U2 U 0.119 0.237 0.750
```

***

no.,DOS(E_F) (states/eV/f.u.),E_form (eV per atom)
1,1.596,-0.806
2,1.586,-0.907
3,1.399,-1.067
4,5.471,-0.914